1.
Crystalline CuF at its relaxed geometry. Source: OQMD, functional GGA-PBE.

Cell and atoms, written as POSCAR:
```
CuF
1.0
-2.600 2.600 3.687
2.600 -2.600 3.687
2.600 2.600 -3.687
Cu F
4 4
Cartesian
0.000 1.300 0.922
-1.300 2.600 2.766
0.000 3.899 0.922
1.300 2.600 2.766
0.000 0.000 2.282
0.000 0.000 5.093
2.600 0.000 0.438
2.600 0.000 3.249
```

The final energy comes out at -3.75 eV per atom.

2.
Crystalline CuF at its relaxed geometry. Source: OQMD, functional GGA-PBE.

Cell and atoms, written as POSCAR:
```
CuF
1.0
-1.065 -1.825 -2.885
-1.019 -2.694 2.119
-3.521 1.572 0.305
Cu F
2 2
Cartesian
-1.934 -1.648 -1.562
-3.671 -1.298 1.101
-1.911 -2.087 0.961
-3.694 -0.860 -1.422
```

The final energy comes out at -3.63 eV per atom.

3.
Crystalline CuF at its relaxed geometry. Source: OQMD, functional GGA-PBE.

Cell and atoms, written as POSCAR:
```
CuF
1.0
3.699 0.000 0.000
0.000 3.699 0.000
0.000 0.000 7.258
Cu F
4 4
Cartesian
0.925 0.925 1.815
2.775 2.775 1.815
2.775 0.925 5.444
0.925 2.775 5.444
0.000 1.850 0.453
1.850 0.000 3.176
0.000 1.850 4.082
1.850 0.000 6.806
```

The final energy comes out at -3.72 eV per atom.

4.
Crystalline CuF at its relaxed geometry. Source: OQMD, functional GGA-PBE.

Cell and atoms, written as POSCAR:
```
CuF
1.0
-0.249 2.793 1.861
-1.116 -0.012 -3.175
-4.979 -1.614 1.757
Cu F
2 2
Cartesian
-0.002 -0.001 0.001
-3.319 0.116 -0.617
-1.865 -0.604 0.658
-5.181 -0.488 0.040
```

The final energy comes out at -3.58 eV per atom.

5.
Crystalline CuF at its relaxed geometry. Source: OQMD, functional GGA-PBE.

Cell and atoms, written as POSCAR:
```
CuF
1.0
3.996 0.000 0.000
0.000 3.996 0.000
0.000 0.000 2.686
Cu F
2 2
Cartesian
0.000 0.000 0.000
1.998 1.998 0.000
0.000 1.998 0.828
1.998 0.000 1.858
```

The final energy comes out at -3.55 eV per atom.

6.
Crystalline CuF at its relaxed geometry. Source: OQMD, functional GGA-PBE.

Cell and atoms, written as POSCAR:
```
CuF
1.0
1.585 -2.239 0.000
1.585 2.239 0.000
0.000 0.000 5.761
Cu F
2 2
Cartesian
1.585 -0.359 0.254
1.585 0.359 3.134
1.585 2.222 1.693
1.585 -2.222 4.574
```

The final energy comes out at -3.57 eV per atom.

7.
Crystalline CuF at its relaxed geometry. Source: OQMD, functional GGA-PBE.

Cell and atoms, written as POSCAR:
```
CuF
1.0
-2.158 0.990 -1.282
0.160 -2.641 0.530
-1.474 0.484 2.855
Cu F
1 1
Cartesian
-2.491 0.143 1.463
-0.981 -1.310 0.640
```

The final energy comes out at -3.60 eV per atom.

8.
Crystalline Cu5F at its relaxed geometry. Source: OQMD, functional GGA-PBE.

Cell and atoms, written as POSCAR:
```
Cu5F
1.0
-3.334 0.206 -3.369
4.578 -0.297 -1.208
-0.263 -4.095 0.010
Cu F
5 1
Cartesian
-0.697 0.038 -2.649
1.941 -0.130 -1.929
-1.799 -1.945 -1.679
2.158 -2.196 -0.599
0.491 -2.093 -2.284
0.000 0.000 0.000
```

The final energy comes out at -3.37 eV per atom.